Model w:
First-principles (PBEsol) data for an optimized crystal structure of Na3V2P3O12, as listed in Alexandria via LeMat-Bulk.

Calculated values
**Total magnetization**: 16.000 Bohr magnetons per cell

```
data_Na3V2P3O12
_symmetry_space_group_name_H-M 'P 1 21/c 1'
_symmetry_Int_Tables_number 14
_cell_length_a 8.6601
_cell_length_b 8.8804
_cell_length_c 14.7305
_cell_angle_alpha 90.00
_cell_angle_beta 124.69
_cell_angle_gamma 90.00
loop_
_symmetry_equiv_pos_as_xyz
'x,y,z'
'-x,-y,-z'
'-x,y+1/2,-z+1/2'
'x,-y+1/2,z+1/2'
loop_
_atom_site_label
_atom_site_type_symbol
_atom_site_fract_x
_atom_site_fract_y
_atom_site_fract_z
Na1 Na 0.0441 0.1802 0.4105
Na2 Na 0.2489 0.0017 0.3326
Na3 Na 0.4165 0.1960 0.1645
V1 V 0.1453 0.5320 0.3876
V2 V 0.3546 0.5386 0.1071
P1 P 0.0443 0.1310 0.6474
P2 P 0.2520 0.6162 0.6458
P3 P 0.4695 0.2469 0.9919
O1 O 0.0322 0.2072 0.1799
O2 O 0.0850 0.5876 0.6554
O3 O 0.0890 0.0149 0.7377
O4 O 0.1514 0.5767 0.9528
O5 O 0.1873 0.1205 0.6156
O6 O 0.2044 0.5629 0.5346
O7 O 0.2842 0.1590 0.9414
O8 O 0.2848 0.7106 0.1630
O9 O 0.3611 0.6510 0.4240
O10 O 0.4255 0.5292 0.7393
O11 O 0.4550 0.1227 0.5571
O12 O 0.4789 0.1867 0.3986
```

---

Model x:
First-principles (PBEsol) data for an optimized crystal structure of Na3V2P3O12, as listed in Alexandria via LeMat-Bulk.

Calculated values
**Total magnetization**: 16.000 Bohr magnetons per cell

```
data_Na3V2P3O12
_symmetry_space_group_name_H-M 'C 1 2/c 1'
_symmetry_Int_Tables_number 15
_cell_length_a 15.0865
_cell_length_b 8.7897
_cell_length_c 8.7844
_cell_angle_alpha 90.00
_cell_angle_beta 125.47
_cell_angle_gamma 90.00
loop_
_symmetry_equiv_pos_as_xyz
'x,y,z'
'-x,-y,-z'
'-x,y,-z+1/2'
'x,-y,z+1/2'
'x+1/2,y+1/2,z'
'-x+1/2,-y+1/2,-z'
'-x+1/2,y+1/2,-z+1/2'
'x+1/2,-y+1/2,z+1/2'
loop_
_atom_site_label
_atom_site_type_symbol
_atom_site_fract_x
_atom_site_fract_y
_atom_site_fract_z
Na1 Na 0.1791 0.0701 0.1142
Na2 Na 0.2500 0.2500 0.5000
V1 V 0.1058 0.2532 0.6481
P1 P 0.0000 0.0431 0.2500
P2 P 0.1465 0.3997 0.0357
O1 O 0.0409 0.3285 0.9882
O2 O 0.0745 0.0568 0.7234
O3 O 0.0783 0.1414 0.4237
O4 O 0.1557 0.4266 0.5668
O5 O 0.1632 0.3653 0.8818
O6 O 0.2389 0.3248 0.2248
```

---

Relative calculated energies, zero for the most stable structure, unit meV per atom: model w 24; model x 0.

---

Model w:
First-principles (PBEsol) data for an optimized crystal structure of Na2VPO6, as listed in Alexandria via LeMat-Bulk.

Calculated values
**Total magnetization**: 0.002 Bohr magnetons per cell

```
data_Na2VPO6
_symmetry_space_group_name_H-M 'P 1 21/c 1'
_symmetry_Int_Tables_number 14
_cell_length_a 6.1622
_cell_length_b 12.5117
_cell_length_c 8.0884
_cell_angle_alpha 90.00
_cell_angle_beta 118.85
_cell_angle_gamma 90.00
loop_
_symmetry_equiv_pos_as_xyz
'x,y,z'
'-x,-y,-z'
'-x,y+1/2,-z+1/2'
'x,-y+1/2,z+1/2'
loop_
_atom_site_label
_atom_site_type_symbol
_atom_site_fract_x
_atom_site_fract_y
_atom_site_fract_z
Na1 Na 0.1065 0.1418 0.4220
Na2 Na 0.2566 0.0761 0.0666
V1 V 0.4101 0.7190 0.6221
P1 P 0.2139 0.6130 0.8038
O1 O 0.0793 0.5074 0.7437
O2 O 0.0963 0.6977 0.6420
O3 O 0.2249 0.6550 0.9884
O4 O 0.3170 0.2232 0.2642
O5 O 0.4073 0.6458 0.4538
O6 O 0.4803 0.6106 0.8216
```

---

Model x:
First-principles (PBEsol) data for an optimized crystal structure of Na2VPO6, as listed in Alexandria via LeMat-Bulk.

Calculated values
**Total magnetization**: 0.001 Bohr magnetons per cell

```
data_Na2VPO6
_symmetry_space_group_name_H-M 'P n a 21'
_symmetry_Int_Tables_number 33
_cell_length_a 11.4658
_cell_length_b 4.8645
_cell_length_c 8.9099
_cell_angle_alpha 90.00
_cell_angle_beta 90.00
_cell_angle_gamma 90.00
loop_
_symmetry_equiv_pos_as_xyz
'x,y,z'
'-x,-y,z+1/2'
'-x+1/2,y+1/2,z+1/2'
'x+1/2,-y+1/2,z'
loop_
_atom_site_label
_atom_site_type_symbol
_atom_site_fract_x
_atom_site_fract_y
_atom_site_fract_z
Na1 Na 0.0788 0.0159 0.0000
Na2 Na 0.1195 0.5329 0.2918
V1 V 0.1297 0.4494 0.6641
P1 P 0.2243 0.0631 0.4704
O1 O 0.0207 0.6591 0.6308
O2 O 0.0704 0.2304 0.7798
O3 O 0.1020 0.2106 0.4795
O4 O 0.2125 0.7249 0.0972
O5 O 0.2239 0.7533 0.4915
O6 O 0.2256 0.6385 0.8117
```

---

Relative calculated energies, zero for the most stable structure, unit meV per atom: model w 0; model x 10.